The following is a PBE+U calculation of a relaxed structure of PrMn2CrO6, from Alexandria via LeMat-Bulk.

```
data_PrMn2CrO6
_cell_length_a 5.538
_cell_length_b 5.538
_cell_length_c 5.118
_cell_angle_alpha 90.00
_cell_angle_beta 90.00
_cell_angle_gamma 90.00
_symmetry_space_group_name_H-M 'P 4 m m'
_symmetry_Int_Tables_number 99
loop_
_symmetry_equiv_pos_as_xyz
'x,y,z'
'-y,x,z'
'-x,-y,z'
'y,-x,z'
'-x,y,z'
'y,x,z'
'x,-y,z'
'-y,-x,z'
loop_
_atom_site_label
_atom_site_type_symbol
_atom_site_fract_x
_atom_site_fract_y
_atom_site_fract_z
_atom_site_occupancy
Pr1 Pr 0.000 0.000 0.000 1
Mn1 Mn 0.000 0.500 0.372 1
Cr1 Cr 0.500 0.500 0.067 1
O1 O 0.000 0.000 0.572 1
O2 O 0.276 0.276 0.191 1
O3 O 0.500 0.500 0.748 1
```

## Properties
Uncorrected energy (eV per atom): -7.43